This record from the Open Quantum Materials Database describes an optimized crystal structure of DyCoAsO. The functional is PBE+U.

Lattice parameters (Å, degrees): 4.315 6.077 5.844 90.00 90.00 90.00
Element x y z (fractional)
Dy 0.000 0.233 0.000
Dy 0.000 0.767 0.500
Co 0.500 0.389 0.644
Co 0.500 0.611 0.144
As 0.000 0.242 0.499
As 0.000 0.758 0.999
O 0.500 0.322 0.984
O 0.500 0.678 0.484

Properties
The magnetization comes out at 5.999 μB/cell. Its space-group type is No. 26. For the total energy, the calculation gives -24.818 eV/f.u.